1.
Below is PrNd5Al3 after structural relaxation, with properties calculated at the GGA-PBE level.

Output
Calculated total energy = -0.3413 Ry per atom
Spin magnetization = 0.0 μB per cell
DFT formation energy = -216.8 meV/atom

Lattice parameters (Å, degrees): 9.358 9.358 6.905 90.00 90.00 120.00
Fractional coordinates of all 18 atoms:
1 Pr 0.000 0.000 0.000
2 Pr 0.000 0.000 0.500
3 Nd 0.000 0.333 0.250
4 Nd 0.000 0.667 0.750
5 Nd 0.333 0.000 0.250
6 Nd 0.333 0.333 0.750
7 Nd 0.333 0.667 0.000
8 Nd 0.333 0.667 0.500
9 Nd 0.667 0.000 0.750
10 Nd 0.667 0.333 0.000
11 Nd 0.667 0.333 0.500
12 Nd 0.667 0.667 0.250
13 Al 0.000 0.335 0.750
14 Al 0.000 0.665 0.250
15 Al 0.335 0.000 0.750
16 Al 0.335 0.335 0.250
17 Al 0.665 0.000 0.250
18 Al 0.665 0.665 0.750

2.
Below is K16Cd12Ag after structural relaxation, with properties calculated at the GGA-PBE level.

Output
Calculated total energy = -0.0813 Ry per atom
Spin magnetization = 0.0 μB per cell
DFT formation energy = -23.7 meV/atom

Lattice parameters (Å, degrees): 10.924 10.924 11.603 106.53 106.53 105.30
Fractional coordinates of all 29 atoms:
1 K 0.000 0.000 0.000
2 K 0.073 0.311 0.340
3 K 0.110 0.727 0.369
4 K 0.114 0.336 0.699
5 K 0.311 0.073 0.340
6 K 0.319 0.698 0.702
7 K 0.336 0.114 0.699
8 K 0.348 0.348 0.090
9 K 0.369 0.713 0.136
10 K 0.391 0.990 0.995
11 K 0.698 0.319 0.702
12 K 0.703 0.703 0.711
13 K 0.713 0.369 0.136
14 K 0.727 0.110 0.369
15 K 0.747 0.747 0.376
16 K 0.990 0.391 0.995
17 Cd 0.029 0.660 0.853
18 Cd 0.034 0.853 0.695
19 Cd 0.405 0.585 0.411
20 Cd 0.408 0.408 0.585
21 Cd 0.527 0.527 0.888
22 Cd 0.527 0.898 0.539
23 Cd 0.585 0.405 0.411
24 Cd 0.660 0.029 0.853
25 Cd 0.670 0.854 0.028
26 Cd 0.853 0.034 0.695
27 Cd 0.854 0.670 0.028
28 Cd 0.898 0.527 0.539
29 Ag 0.936 0.936 0.249

3.
Below is Ac2PrTiN4 after structural relaxation, with properties calculated at the GGA-PBE level.

Output
Energy relative to the elements, uncorrected = -1.08 eV per atom
Calculated total energy = -0.5773 Ry per atom
Spin magnetization = 0.0 μB per cell

Lattice parameters (Å, degrees): 6.434 6.434 13.143 90.00 90.00 147.47
Fractional coordinates of all 16 atoms:
1 Ac 0.135 0.865 0.540
2 Ac 0.135 0.865 0.960
3 Ac 0.865 0.135 0.040
4 Ac 0.865 0.135 0.460
5 Pr 0.397 0.603 0.750
6 Pr 0.603 0.397 0.250
7 Ti 0.326 0.674 0.250
8 Ti 0.674 0.326 0.750
9 N 0.088 0.912 0.750
10 N 0.223 0.777 0.143
11 N 0.223 0.777 0.357
12 N 0.500 0.500 0.000
13 N 0.500 0.500 0.500
14 N 0.777 0.223 0.643
15 N 0.777 0.223 0.857
16 N 0.912 0.088 0.250

4.
Below is NbAgSe3 after structural relaxation, with properties calculated at the GGA-PBE level.

Output
Energy relative to the elements, uncorrected = -0.48 eV per atom
Calculated total energy = -0.3789 Ry per atom
Spin magnetization = 0.0 μB per cell

Lattice parameters (Å, degrees): 7.792 7.792 8.382 103.14 103.14 25.51
Fractional coordinates of all 10 atoms:
1 Nb 0.233 0.233 0.243
2 Nb 0.767 0.767 0.757
3 Ag 0.009 0.009 0.672
4 Ag 0.991 0.991 0.328
5 Se 0.170 0.170 0.896
6 Se 0.171 0.171 0.534
7 Se 0.403 0.403 0.827
8 Se 0.597 0.597 0.173
9 Se 0.829 0.829 0.466
10 Se 0.830 0.830 0.104

5.
Below is TaBeZn2Ge after structural relaxation, with properties calculated at the GGA-PBE level.

Output
Calculated total energy = -0.2544 Ry per atom
Spin magnetization = 0.0 μB per cell
DFT formation energy = 1087.8 meV/atom

Lattice parameters (Å, degrees): 4.697 4.697 4.015 90.00 90.00 90.00
Fractional coordinates of all 5 atoms:
1 Ta 0.000 0.000 0.000
2 Be 0.500 0.500 0.000
3 Zn 0.000 0.500 0.500
4 Zn 0.500 0.000 0.500
5 Ge 0.500 0.500 0.500